First-principles (PBE) data for SrAs2Pd5 after structural relaxation, as listed in OQMD.

abc: 4.1391 7.2547 9.7968
angles: 90.00 90.00 90.00
Sites, in units of the cell vectors:
1 Sr 0.0000 0.0000 0.0000
2 Sr 0.5000 0.5000 0.5000
3 As 0.0000 0.5000 0.2470
4 As 0.0000 0.5000 0.7530
5 As 0.5000 0.0000 0.2530
6 As 0.5000 0.0000 0.7470
7 Pd 0.0000 0.1919 0.3479
8 Pd 0.0000 0.1919 0.6521
9 Pd 0.0000 0.5000 0.0000
10 Pd 0.0000 0.8081 0.3479
11 Pd 0.0000 0.8081 0.6521
12 Pd 0.5000 0.0000 0.5000
13 Pd 0.5000 0.3081 0.1521
14 Pd 0.5000 0.3081 0.8479
15 Pd 0.5000 0.6919 0.1521
16 Pd 0.5000 0.6919 0.8479

Computed properties:
- space-group type = Immm
- E (eV per cell) = -83.32
- calculated volume (Å³/cell) = 294.17